Entry 1:
4
Lattice="-2.3393 -2.4781 -0.7502 -0.4952 -0.9871 -3.3100 7.2033 -9.2045 -0.1719" Properties=species:S:1:pos:R:3 comment="NaDy2Zn | the Alexandria database | PBE | relaxed" ef_ev_per_atom=0.098 final_energy_ev_per_cell=-11.4 space_group="R-3m (166)" dos_ef_per_ev_cell=3.91 volume_a3_per_cell=121.4 pbc="T T T"
Zn 2.1844 -6.3349 -2.1161
Dy -0.3200 -5.9493 -3.6956
Na 0.0000 0.0000 0.0000
Dy 4.6887 -6.7204 -0.5365

=====

Entry 2:
4
Lattice="-2.5356 -1.9281 1.1465 1.4013 -3.7657 -3.2339 3.1170 -1.9475 3.6184" Properties=species:S:1:pos:R:3 comment="NaDyZn2 | the Alexandria database | PBE | relaxed" ef_ev_per_atom=-0.093 final_energy_ev_per_cell=-8.8 space_group="P4/mmm (123)" dos_ef_per_ev_cell=2.89 volume_a3_per_cell=90.1 pbc="T T T"
Zn 0.7006 -1.8828 -1.6169
Na -1.2678 -0.9641 0.5732
Zn 1.5585 -0.9738 1.8092
Dy 0.9914 -3.8206 0.7655

=====

| no. | energy above the lowest structure with this stoichiometry (eV per atom) |
| --- | --- |
| 1 | 0.1210 |
| 2 | 0.0000 |